1.
# KGa2Pt2

A crystal of KGa2Pt2 relaxed with PBEsol (meta-GGA SCAN, Alexandria).

Cell lengths 2.7402, 7.9423, 7.9423 Å; angles 90.00, 90.00, 90.00 degrees
Positions (direct):
Ga: 0.5000 0.8648 0.3648
Ga: 0.5000 0.1352 0.6352
Ga: 0.5000 0.6352 0.8648
Ga: 0.5000 0.3648 0.1352
Pt: 0.0000 0.1576 0.3424
Pt: 0.0000 0.3424 0.8424
Pt: 0.0000 0.8424 0.6576
Pt: 0.0000 0.6576 0.1576
K: 0.0000 0.0000 0.0000
K: 0.0000 0.5000 0.5000

Output
Symmetry: No. 127
Polymorph energy (0 for the lowest one), meV/atom: 55
Energy of formation, eV per atom: -0.52

---

2.
# ZrMnPb2

A crystal of ZrMnPb2 relaxed with PBEsol (meta-GGA SCAN, Alexandria).

Cell lengths 4.1735, 4.1735, 5.7780 Å; angles 111.17, 111.17, 90.00 degrees
Last column: magnetic moment on the atom in μB.
Positions (direct):
Mn: 0.7500 0.2500 0.5000  4.15
Zr: 0.5000 0.5000 0.0000  -0.06
Pb: 0.0000 0.0000 0.0000  -0.03
Pb: 0.2500 0.7500 0.5000  0.00

Output
Symmetry: No. 119
Polymorph energy (0 for the lowest one), meV/atom: 0
Energy of formation, eV per atom: -0.16

---

3.
# PdAuO2F

A crystal of PdAuO2F relaxed with PBEsol (meta-GGA SCAN, Alexandria).

Cell lengths 3.9118, 3.9118, 4.0769 Å; angles 90.00, 90.00, 90.00 degrees
Last column: magnetic moment on the atom in μB.
Positions (direct):
Au: 0.5000 0.5000 0.5000  0.17
O: 0.5000 0.0000 0.0000  0.32
O: 0.0000 0.5000 0.0000  0.32
Pd: 0.0000 0.0000 0.0000  0.30
F: 0.0000 0.0000 0.5000  0.00

Output
Symmetry: No. 123
Energy relative to the elements, uncorrected, eV/atom: 0.001

---

4.
# MgRhBr

A crystal of MgRhBr relaxed with PBEsol (meta-GGA SCAN, Alexandria).

Cell lengths 4.3710, 4.3710, 4.3710 Å; angles 60.00, 60.00, 60.00 degrees
Positions (direct):
Rh: 0.0000 0.0000 0.0000
Br: 0.5000 0.5000 0.5000
Mg: 0.2500 0.2500 0.2500

Output
Symmetry: No. 216
Energy relative to the elements, uncorrected, eV/atom: 0.302

---

5.
# FeTcAs2

A crystal of FeTcAs2 relaxed with PBEsol (meta-GGA SCAN, Alexandria).

Cell lengths 3.2603, 4.6508, 4.6840 Å; angles 119.77, 110.37, 90.00 degrees
Last column: magnetic moment on the atom in μB.
Positions (direct):
As: 0.7677 0.7677 0.5354  -0.01
As: 0.2323 0.2323 0.4646  -0.01
Tc: 0.0000 0.5000 0.0000  0.30
Fe: 0.5000 0.0000 0.0000  2.70

Output
Symmetry: No. 71
Polymorph energy (0 for the lowest one), meV/atom: 254
Energy of formation, eV per atom: 0.27

---

6.
# SrCdBr

A crystal of SrCdBr relaxed with PBEsol (meta-GGA SCAN, Alexandria).

Cell lengths 4.3233, 5.2128, 5.2128 Å; angles 120.00, 90.00, 90.00 degrees
Positions (direct):
Br: 0.5000 0.0000 0.0000
Sr: 0.5000 0.6667 0.3333
Cd: 0.0000 0.3333 0.6667

Output
Symmetry: No. 187
Polymorph energy (0 for the lowest one), meV/atom: 102
Energy relative to the elements, uncorrected, eV/atom: -0.879

---

7.
# CaTa2Ti

A crystal of CaTa2Ti relaxed with PBEsol (meta-GGA SCAN, Alexandria).

Cell lengths 4.7674, 4.7674, 4.7674 Å; angles 60.00, 60.00, 60.00 degrees
Positions (direct):
Ti: 0.5000 0.5000 0.5000
Ca: 0.0000 0.0000 0.0000
Ta: 0.7500 0.7500 0.7500
Ta: 0.2500 0.2500 0.2500

Output
Symmetry: No. 225
Energy of formation, eV per atom: 0.88

---

8.
# LaHf2Ir2

A crystal of LaHf2Ir2 relaxed with PBEsol (meta-GGA SCAN, Alexandria).

Cell lengths 4.4637, 4.4637, 6.3056 Å; angles 110.73, 110.73, 90.00 degrees
Positions (direct):
Hf: 0.2500 0.7500 0.5000
Hf: 0.7500 0.2500 0.5000
Ir: 0.6199 0.6199 0.2398
Ir: 0.3801 0.3801 0.7602
La: 0.0000 0.0000 0.0000

Output
Symmetry: No. 139
Energy of formation, eV per atom: -1.06

---

Number 1: electronic total energy -368.026 eV/cell. Number 2: electronic total energy -201.147 eV/cell. Number 3: electronic total energy -117.928 eV/cell. Number 4: electronic total energy -57.299 eV/cell. Number 5: electronic total energy -92.495 eV/cell. Number 6: electronic total energy -74.786 eV/cell. Number 7: electronic total energy -155.330 eV/cell. Number 8: electronic total energy -315.947 eV/cell.